--- a ---
Material: Cr2SbS
Method: DFT, GGA-PBE
State: optimized geometry Values from VASP.

```
&SYSTEM
  ibrav = 0, nat = 8, ntyp = 3
/
ATOMIC_SPECIES
Cr 52.00 Cr.upf
Sb 121.76 Sb.upf
S 32.06 S.upf
CELL_PARAMETERS angstrom
-2.8183 2.8183 6.0555
2.8183 -2.8183 6.0555
2.8183 2.8183 -6.0555
ATOMIC_POSITIONS crystal
Cr 0.0682 0.6250 0.9432
Cr 0.3750 0.3182 0.4432
Cr 0.6818 0.1250 0.0568
Cr 0.8750 0.9318 0.5568
Sb 0.2500 0.7500 0.5000
Sb 0.5000 0.5000 0.0000
S 0.0000 0.0000 0.0000
S 0.7500 0.2500 0.5000
```

Summary:
- DOS at the Fermi energy (states/eV/cell) = 3.25
- space group = I-42d

--- b ---
Material: Cr2SbS
Method: DFT, GGA-PBE
State: optimized geometry Values from VASP.

```
&SYSTEM
  ibrav = 0, nat = 4, ntyp = 3
/
ATOMIC_SPECIES
Cr 52.00 Cr.upf
Sb 121.76 Sb.upf
S 32.06 S.upf
CELL_PARAMETERS angstrom
0.0000 3.1249 3.1249
3.1249 0.0000 3.1249
3.1249 3.1249 0.0000
ATOMIC_POSITIONS crystal
Cr 0.2500 0.2500 0.2500
Cr 0.7500 0.7500 0.7500
Sb 0.0000 0.0000 0.0000
S 0.5000 0.5000 0.5000
```

Summary:
- DOS at the Fermi energy (states/eV/cell) = 2.68
- space group = Fm-3m

a is preferred energetically. Next in line: 289 meV/atom higher.

--- a ---
Material: ScCrS3
Method: DFT, GGA-PBE
State: optimized geometry Values from VASP.

```
&SYSTEM
  ibrav = 0, nat = 5, ntyp = 3
/
ATOMIC_SPECIES
Sc 44.96 Sc.upf
Cr 52.00 Cr.upf
S 32.06 S.upf
CELL_PARAMETERS angstrom
4.8714 0.0000 0.0000
0.0000 4.8714 0.0000
0.0000 0.0000 4.8714
ATOMIC_POSITIONS crystal
Sc 0.0000 0.0000 0.0000
Cr 0.5000 0.5000 0.5000
S 0.0000 0.0000 0.5000
S 0.0000 0.5000 0.0000
S 0.5000 0.0000 0.0000
```

Summary:
- DOS at the Fermi energy (states/eV/cell) = 5.11
- space group = Pm-3m

--- b ---
Material: ScCrS3
Method: DFT, GGA-PBE
State: optimized geometry Values from VASP.

```
&SYSTEM
  ibrav = 0, nat = 10, ntyp = 3
/
ATOMIC_SPECIES
Sc 44.96 Sc.upf
Cr 52.00 Cr.upf
S 32.06 S.upf
CELL_PARAMETERS angstrom
3.1270 1.8054 5.6255
-3.1270 1.8054 5.6255
0.0000 -3.6107 5.6255
ATOMIC_POSITIONS crystal
Sc 0.1526 0.1526 0.1526
Sc 0.8474 0.8474 0.8474
Cr 0.3399 0.3399 0.3399
Cr 0.6601 0.6601 0.6601
S 0.0644 0.4423 0.7289
S 0.2711 0.9356 0.5577
S 0.4423 0.7289 0.0644
S 0.5577 0.2711 0.9356
S 0.7289 0.0644 0.4423
S 0.9356 0.5577 0.2711
```

Summary:
- space group = R-3

b is preferred energetically. Next in line: 1010 meV/atom higher.